Entry 1:
The following is a DFT calculation (PBE) of a geometry-optimized NaCe3Tl4S8 structure.

Calculated values
DFT total energy ... -5.074 eV/atom
Space group ... No. 12
E_form (uncorrected) ... -1.22 eV per atom

abc: 8.288 7.499 8.285
angles: 90.04 120.01 90.00
Element x y z (fractional)
S (0.350, 0.301, 0.175)
S (0.825, 0.301, 0.650)
S (0.825, 0.301, 0.175)
Tl (0.500, 0.000, 0.500)
Na (0.000, 0.500, 0.000)
Ce (0.500, 0.500, 0.500)
Ce (0.000, 0.500, 0.500)
S (0.175, 0.699, 0.825)
Ce (0.500, 0.500, 0.000)
S (0.333, 0.302, 0.666)
S (0.667, 0.698, 0.334)
S (0.650, 0.699, 0.825)
Tl (0.000, 0.000, 0.000)
Tl (0.000, 0.000, 0.500)
Tl (0.500, 0.000, 0.000)
S (0.175, 0.699, 0.350)



Entry 2:
The following is a DFT calculation (PBE) of a geometry-optimized Rb2NbTcF6 structure.

Calculated values
DFT total energy ... -5.355 eV/atom
Space group ... No. 225
E_form (uncorrected) ... -2.00 eV per atom

abc: 6.166 6.166 6.170
angles: 60.02 60.02 90.00
Element x y z (fractional)
Rb (0.750, 0.250, 0.500)
F (0.749, 0.251, 0.000)
F (0.749, 0.749, 0.000)
Rb (0.250, 0.750, 0.500)
Nb (0.500, 0.500, 0.000)
F (0.251, 0.251, 0.000)
F (0.251, 0.251, 0.498)
F (0.251, 0.749, 0.000)
F (0.749, 0.749, 0.502)
Tc (0.000, 0.000, 0.000)



Entry 3:
The following is a DFT calculation (PBE) of a geometry-optimized PmGe3Au2 structure.

Calculated values
DFT total energy ... -4.580 eV/atom
Formation enthalpy at 0 K ... -0.3872 eV per atom
Space group ... No. 139

abc: 4.389 4.389 13.521
angles: 99.34 99.34 90.00
Element x y z (fractional)
Pm (0.849, 0.849, 0.699)
Au (0.750, 0.250, 0.500)
Pm (0.151, 0.151, 0.301)
Ge (0.048, 0.548, 0.096)
Ge (0.305, 0.305, 0.610)
Ge (0.952, 0.452, 0.904)
Ge (0.695, 0.695, 0.390)
Au (0.400, 0.400, 0.799)
Au (0.250, 0.750, 0.500)
Au (0.600, 0.600, 0.201)
Ge (0.452, 0.952, 0.904)
Ge (0.548, 0.048, 0.096)



Entry 4:
The following is a DFT calculation (PBE) of a geometry-optimized TlTc2As structure.

Calculated values
DFT total energy ... -6.430 eV/atom
Formation enthalpy at 0 K ... 0.5074 eV per atom
Space group ... No. 71

abc: 5.298 5.298 5.298
angles: 146.25 120.93 69.79
Element x y z (fractional)
Tl (0.750, 0.250, 0.500)
Tc (0.031, 0.031, 0.000)
As (0.250, 0.750, 0.500)
Tc (0.469, 0.469, 0.000)